# TmPu2Np

A relaxed TmPu2Np crystal (PBE-GGA, Alexandria via LeMat-Bulk).

Computed properties:
Space group: R-3m, No. 166
Calculated formation energy: 0.5822 eV/atom

a = 3.675 Å, b = 3.675 Å, c = 26.191 Å
α = 90.00°, β = 90.00°, γ = 120.00°
Fractional positions:
Tm (0.000, 0.000, 0.000)
Tm (0.333, 0.667, 0.667)
Tm (0.667, 0.333, 0.333)
Pu (0.000, 0.000, 0.117)
Pu (0.000, 0.000, 0.883)
Pu (0.333, 0.667, 0.550)
Pu (0.333, 0.667, 0.784)
Pu (0.667, 0.333, 0.216)
Pu (0.667, 0.333, 0.450)
Np (0.000, 0.000, 0.500)
Np (0.333, 0.667, 0.167)
Np (0.667, 0.333, 0.833)